1.
Hg2Pb7Au2 after structural relaxation. Source: Alexandria via LeMat-Bulk, functional PBE.

Output
DFT formation energy (eV per atom): 0.0371
Total energy (eV for the cell shown): -65.4

a = 9.0297 Å, b = 10.7294 Å, c = 6.9570 Å
α = 90.00°, β = 90.00°, γ = 90.00°
Closest atoms and distances in Å follow each position.
Space group Cmmm (No. 65)
Unique sites:
Hg1 0.1649 0.0000 0.0000  1 Hg 2.98, 4 Pb 3.24
Pb1 0.0000 0.0000 0.5000  2 Au 2.98
Pb2 0.0000 0.5000 0.2436  2 Au 2.97
Pb3 0.2500 0.2500 0.2366  2 Au 2.92, 2 Hg 3.24
Au1 0.0000 0.2781 0.5000  7 Pb 2.92-2.98


2.
Hg12Pb16Au after structural relaxation. Source: Alexandria via LeMat-Bulk, functional PBE.

Output
DFT formation energy (eV per atom): 0.0366
Total energy (eV for the cell shown): -130.3

a = 11.8211 Å, b = 16.2859 Å, c = 10.4198 Å
α = 90.00°, β = 124.55°, γ = 90.00°
Closest atoms and distances in Å follow each position.
Space group Cm (No. 8)
Unique sites:
Hg1 0.0000 0.0000 0.0000  3 Hg 3.07-3.13, 5 Pb 3.34-3.37
Hg2 0.0532 0.3169 0.3512  3 Hg 3.07-3.24, 4 Pb 3.21-3.42
Hg3 0.0979 0.0957 0.8185  3 Hg 3.06-3.13, 1 Au 3.08, 4 Pb 3.24-3.40
Hg4 0.1400 0.4056 0.1491  3 Hg 3.07-3.17, 5 Pb 3.22-3.40
Hg5 0.1584 0.0000 0.3566  1 Au 2.99, 3 Hg 3.07-3.27, 2 Pb 3.20
Hg6 0.3664 0.1923 0.9737  3 Hg 3.06-3.24, 3 Pb 3.21-3.30
Hg7 0.4561 0.0926 0.5304  3 Hg 3.02-3.27, 3 Pb 3.27-3.38
Pb1 0.0620 0.2914 0.8421  5 Hg 3.24-3.44, 6 Pb 3.50-3.61
Pb2 0.1690 0.5000 0.8783  5 Hg 3.36-3.40, 7 Pb 3.41-3.57
Pb3 0.2087 0.1748 0.1836  6 Hg 3.38-3.60, 4 Pb 3.44-3.50
Pb4 0.2129 0.1594 0.5643  3 Hg 3.20-3.27, 1 Au 3.32, 4 Pb 3.39-3.54
Pb5 0.2431 0.5000 0.4826  1 Au 3.05, 2 Hg 3.33
Pb6 0.2961 0.3540 0.7490  5 Hg 3.30-3.51, 6 Pb 3.43-3.63
Pb7 0.3560 0.0000 0.8227  1 Au 3.38, 6 Hg 3.40-3.50, 4 Pb 3.41-3.50
Pb8 0.3710 0.0000 0.1677  4 Pb 3.49-3.71, 11 Hg 3.54-3.71
Pb9 0.3912 0.3191 0.4778  1 Au 3.23, 3 Hg 3.27-3.42, 5 Pb 3.39-3.61
Pb10 0.4110 0.3584 0.1630  5 Hg 3.21-3.37, 3 Pb 3.44-3.56
Au1 0.0206 0.0000 0.5247  3 Hg 2.99-3.08, 5 Pb 3.05-3.32


3.
Hg2PbAu9 after structural relaxation. Source: Alexandria via LeMat-Bulk, functional PBE.

Output
DFT formation energy (eV per atom): 0.0257
Total energy (eV for the cell shown): -100.5

a = 5.6563 Å, b = 5.6563 Å, c = 27.6069 Å
α = 90.00°, β = 90.00°, γ = 120.00°
Closest atoms and distances in Å follow each position.
Space group R-3m (No. 166, hexagonal axes)
Unique sites:
Hg1 0.0000 0.0000 0.1347  9 Au 3.14-3.38
Pb1 0.0000 0.0000 0.0000  6 Au 3.27
Au1 0.0000 0.0000 0.3332  6 Au 2.85-2.88
Au2 0.0000 0.0000 0.5000  6 Au 2.79
Au3 0.0043 0.5022 0.9145  7 Au 2.79-2.88


4.
Hg2Pb3Au3 after structural relaxation. Source: Alexandria via LeMat-Bulk, functional PBE.

Output
DFT formation energy (eV per atom): -0.0194
Total energy (eV for the cell shown): -86.9

a = 3.8994 Å, b = 13.8025 Å, c = 14.9965 Å
α = 90.00°, β = 90.00°, γ = 90.00°
Closest atoms and distances in Å follow each position.
Space group Cmcm (No. 63)
Unique sites:
Hg1 0.0000 0.2414 0.0806  4 Au 2.84-3.00, 2 Hg 3.11
Pb1 0.0000 0.0535 0.6270  6 Au 3.04-3.28
Pb2 0.0000 0.3526 0.7500  4 Au 3.16-3.23, 4 Hg 3.46
Au1 0.0000 0.3341 0.2500  2 Hg 2.84, 4 Pb 3.10
Au2 0.0000 0.4095 0.5457  1 Au 2.85, 3 Hg 2.90-3.00, 3 Pb 3.04-3.16


5.
Hg2PbAu after structural relaxation. Source: Alexandria via LeMat-Bulk, functional PBE.

Output
DFT formation energy (eV per atom): 0.0121
Total energy (eV for the cell shown): -30.2

a = 5.7352 Å, b = 13.8606 Å, c = 5.7270 Å
α = 90.00°, β = 116.99°, γ = 90.00°
Closest atoms and distances in Å follow each position.
Space group C2/c (No. 15)
Unique sites:
Hg1 0.1893 0.1748 0.1333  3 Hg 2.85-3.19, 2 Au 2.94-3.04
Pb1 0.0000 0.4131 0.2500  4 Au 3.07-3.26, 2 Hg 3.38
Au1 0.0000 0.0068 0.7500  2 Au 2.87, 4 Hg 2.94-3.04, 2 Pb 3.07


6.
Hg2Pb3Au after structural relaxation. Source: Alexandria via LeMat-Bulk, functional PBE.

Output
DFT formation energy (eV per atom): 0.0584
Total energy (eV for the cell shown): -58.6

a = 6.9308 Å, b = 16.4134 Å, c = 5.7929 Å
α = 90.00°, β = 90.00°, γ = 90.00°
Closest atoms and distances in Å follow each position.
Space group Cmcm (No. 63)
Unique sites:
Hg1 0.2218 0.0000 0.0000  3 Hg 2.90-3.08
Pb1 0.0000 0.3635 0.2500  4 Hg 3.29, 6 Pb 3.42-3.49, 2 Au 3.50
Pb2 0.2412 0.1816 0.2500  3 Au 3.10-3.36, 2 Hg 3.32, 2 Pb 3.34-3.42
Au1 0.0000 0.1644 0.7500  6 Pb 3.10-3.36, 4 Hg 3.43


7.
HgPb2Au2 after structural relaxation. Source: Alexandria via LeMat-Bulk, functional PBE.

Output
DFT formation energy (eV per atom): -0.0318
Total energy (eV for the cell shown): -28.9

a = 7.6524 Å, b = 7.6524 Å, c = 4.2804 Å
α = 90.00°, β = 90.00°, γ = 90.00°
Closest atoms and distances in Å follow each position.
Space group P4/mbm (No. 127)
Unique sites:
Hg1 0.0000 0.0000 0.0000  4 Au 2.98
Pb1 0.1658 0.3342 0.5000  6 Au 3.04-3.15
Au1 0.1342 0.6342 0.0000  1 Au 2.90, 2 Hg 2.98, 6 Pb 3.04-3.15


8.
Hg5Pb2Au after structural relaxation. Source: Alexandria via LeMat-Bulk, functional PBE.

Output
DFT formation energy (eV per atom): 0.0286
Total energy (eV for the cell shown): -12.0

a = 6.0965 Å, b = 6.1400 Å, c = 6.4202 Å
α = 104.74°, β = 101.52°, γ = 104.09°
Closest atoms and distances in Å follow each position.
Space group P1 (No. 1)
Unique sites:
Hg1 0.0000 0.0000 0.0000  5 Hg 3.03-3.34, 1 Au 3.07, 2 Pb 3.18-3.37
Hg2 0.0287 0.5189 0.0187  1 Au 2.94, 4 Hg 3.03-3.17, 1 Pb 3.19
Hg3 0.4647 0.8007 0.6350  1 Au 2.94, 2 Pb 3.12-3.13, 1 Hg 3.14
Hg4 0.5008 0.3041 0.0210  6 Hg 3.12-3.44, 2 Pb 3.20-3.29
Hg5 0.5407 0.8416 0.1442  1 Au 2.92, 5 Hg 3.08-3.19
Pb1 0.3311 0.2474 0.4994  1 Au 2.96, 4 Hg 3.13-3.31
Pb2 0.9159 0.6114 0.4927  2 Au 3.01-3.29, 4 Hg 3.12-3.37
Au1 0.8616 0.1456 0.5812  4 Hg 2.92-3.07, 2 Pb 2.96-3.01


9.
Hg2PbAu after structural relaxation. Source: Alexandria via LeMat-Bulk, functional PBE.

Output
DFT formation energy (eV per atom): 0.0212
Total energy (eV for the cell shown): -7.5

a = 3.4810 Å, b = 3.4810 Å, c = 8.3036 Å
α = 90.00°, β = 90.00°, γ = 90.00°
Closest atoms and distances in Å follow each position.
Space group P4mm (No. 99)
Unique sites:
Hg1 0.0000 0.0000 0.0000  4 Au 3.07, 4 Hg 3.26
Hg2 0.5000 0.5000 0.2567  8 Hg 3.26-3.48, 4 Pb 3.50
Pb1 0.0000 0.0000 0.5571  4 Au 3.07
Au1 0.5000 0.5000 0.7781  4 Pb 3.07, 4 Hg 3.07


10.
Hg2PbAu after structural relaxation. Source: Alexandria via LeMat-Bulk, functional PBE.

Output
DFT formation energy (eV per atom): 0.0742
Total energy (eV for the cell shown): -21.9

a = 3.9535 Å, b = 3.9535 Å, c = 23.4773 Å
α = 90.00°, β = 90.00°, γ = 120.00°
Closest atoms and distances in Å follow each position.
Space group R-3m (No. 166, hexagonal axes)
Unique sites:
Hg1 0.0000 0.0000 0.2396  3 Au 2.85, 3 Pb 3.17
Pb1 0.0000 0.0000 0.0000  6 Hg 3.17
Au1 0.0000 0.0000 0.5000  6 Hg 2.85


11.
Hg12Pb5Au3 after structural relaxation. Source: Alexandria via LeMat-Bulk, functional PBE.

Output
DFT formation energy (eV per atom): 0.1847
Total energy (eV for the cell shown): -226.4

a = 17.1771 Å, b = 17.1771 Å, c = 17.1771 Å
α = 90.00°, β = 90.00°, γ = 90.00°
Closest atoms and distances in Å follow each position.
Space group Ia-3d (No. 230)
Unique sites:
Hg1 0.0149 0.0874 0.6533  1 Au 2.85, 2 Pb 2.93-3.04, 1 Hg 3.00
Pb1 0.0000 0.0000 0.0000  6 Hg 3.04
Pb2 0.0000 0.2500 0.3750  4 Hg 2.93
Au1 0.0000 0.2500 0.1250  4 Hg 2.85


12.
HgPb5Au2 after structural relaxation. Source: Alexandria via LeMat-Bulk, functional PBE.

Output
DFT formation energy (eV per atom): -0.0321
Total energy (eV for the cell shown): -51.3

a = 3.7051 Å, b = 7.8932 Å, c = 15.5288 Å
α = 90.00°, β = 90.00°, γ = 90.00°
Closest atoms and distances in Å follow each position.
Space group Immm (No. 71)
Unique sites:
Hg1 0.0000 0.0000 0.0000  8 Pb 3.41, 2 Hg 3.71
Pb1 0.0000 0.2731 0.3565  3 Au 2.96-3.00
Pb2 0.0000 0.5000 0.0000  2 Au 3.18
Au1 0.0000 0.5000 0.2047  7 Pb 2.96-3.18